Below is an optimized crystal structure of BaCuPt, with properties calculated at the PBE level.

abc: 6.795 6.795 6.795
angles: 90.00 90.00 90.00
Fractional coordinates of all 12 atoms:
Cu 0.339 0.661 0.161
Cu 0.161 0.339 0.661
Cu 0.661 0.161 0.339
Cu 0.839 0.839 0.839
Pt 0.425 0.425 0.425
Pt 0.075 0.575 0.925
Pt 0.925 0.075 0.575
Pt 0.575 0.925 0.075
Ba 0.145 0.145 0.145
Ba 0.645 0.355 0.855
Ba 0.355 0.855 0.645
Ba 0.855 0.645 0.355

Calculated values
- Raw total energy: -4.42 eV/atom
- Space group: P2_13
- Crystal system: cubic
- Polymorph energy (0 for the lowest one): 0.14 eV per formula unit
- Spin magnetization: 0.00 μB per atom
- Formation energy from the elements: -402 meV/atom